No. 1
Density functional theory data (PBE-GGA) for crystalline CeSm2ErS4 at its relaxed geometry.

## Properties
As for the space group: P2/m, No. 10. As for the crystal system: monoclinic. As for the total energy: -52.6 eV per formula unit. As for the energy relative to the elements, uncorrected: -2.014 eV/atom.

Geometry as POSCAR:
```
CeSm2ErS4
1.0
6.8777 0.0000 0.0000
0.0000 3.9600 0.0000
-2.2828 0.0000 6.5309
Ce Sm Er S
1 2 1 4
direct
0.0000 0.0000 0.0000 Ce
0.5000 0.0000 0.5000 Sm
0.5000 0.5000 0.0000 Sm
0.0000 0.5000 0.5000 Er
0.2409 0.0000 0.7403 S
0.2462 0.5000 0.2557 S
0.7538 0.5000 0.7443 S
0.7591 0.0000 0.2597 S
```

=====

No. 2
Density functional theory data (PBE-GGA) for crystalline CeSm2Er3S6 at its relaxed geometry.

## Properties
As for the space group: C2/m, No. 12. As for the crystal system: monoclinic. As for the total energy: -77.8 eV per formula unit. As for the energy relative to the elements, uncorrected: -2.001 eV/atom.

Geometry as POSCAR:
```
CeSm2Er3S6
1.0
8.6186 -1.9544 0.0000
8.6186 1.9544 0.0000
-1.9509 0.0000 7.7082
Ce Sm Er S
1 2 3 6
direct
0.0000 0.0000 0.0000 Ce
0.3345 0.3345 0.6692 Sm
0.6655 0.6655 0.3308 Sm
0.0000 0.0000 0.5000 Er
0.3336 0.3336 0.1650 Er
0.6664 0.6664 0.8350 Er
0.1643 0.1643 0.5914 S
0.1706 0.1706 0.0761 S
0.4968 0.4968 0.2594 S
0.5032 0.5032 0.7406 S
0.8294 0.8294 0.9239 S
0.8357 0.8357 0.4086 S
```